Entry i
A plane-wave DFT calculation with PBE was carried out for an optimized crystal structure of YSi2F.

Cell: 6.6927 6.6927 6.6927 Å, 90.00 90.00 90.00°
Last column: nearest neighbours and their distance in Å.
Fractional coordinates of all 16 atoms:
Y 0.0000 0.0000 0.0000  8 Si 2.90
Y 0.0000 0.5000 0.5000  8 Si 2.90
Y 0.5000 0.0000 0.5000  8 Si 2.90
Y 0.5000 0.5000 0.0000  8 Si 2.90
Si 0.2500 0.2500 0.2500  4 Y 2.90, 4 F 2.90
Si 0.2500 0.2500 0.7500  4 F 2.90, 4 Y 2.90
Si 0.2500 0.7500 0.2500  4 F 2.90, 4 Y 2.90
Si 0.2500 0.7500 0.7500  4 Y 2.90, 4 F 2.90
Si 0.7500 0.2500 0.2500  4 F 2.90, 4 Y 2.90
Si 0.7500 0.2500 0.7500  4 Y 2.90, 4 F 2.90
Si 0.7500 0.7500 0.2500  4 F 2.90, 4 Y 2.90
Si 0.7500 0.7500 0.7500  4 F 2.90, 4 Y 2.90
F 0.0000 0.0000 0.5000  8 Si 2.90
F 0.0000 0.5000 0.0000  8 Si 2.90
F 0.5000 0.0000 0.0000  8 Si 2.90
F 0.5000 0.5000 0.5000  8 Si 2.90

Calculated values
- M_tot: 0.00 Bohr magnetons per cell
- Density: 3.64 g cm⁻³
- Calculated volume: 75 Å³/f.u.


Entry ii
A plane-wave DFT calculation with PBE was carried out for an optimized crystal structure of YSi2F.

Cell: 3.4638 3.4638 22.8012 Å, 90.00 90.00 90.00°
Last column: nearest neighbours and their distance in Å.
Fractional coordinates of all 16 atoms:
Y 0.0000 0.0000 0.0000  4 F 2.45
Y 0.0000 0.5000 0.2500  4 F 2.45
Y 0.5000 0.0000 0.7500  4 F 2.45
Y 0.5000 0.5000 0.5000  4 F 2.45
Si 0.2461 0.7500 0.1250  4 Si 2.43-2.47
Si 0.2500 0.2461 0.8750  4 Si 2.43-2.47
Si 0.2500 0.2539 0.3750  4 Si 2.43-2.47
Si 0.2539 0.7500 0.6250  4 Si 2.43-2.47
Si 0.7461 0.2500 0.6250  4 Si 2.43-2.47
Si 0.7500 0.7461 0.3750  4 Si 2.43-2.47
Si 0.7500 0.7539 0.8750  4 Si 2.43-2.47
Si 0.7539 0.2500 0.1250  4 Si 2.43-2.47
F 0.0000 0.0000 0.5000  4 Y 2.45
F 0.0000 0.5000 0.7500  4 Y 2.45
F 0.5000 0.0000 0.2500  4 Y 2.45
F 0.5000 0.5000 0.0000  4 Y 2.45

Calculated values
- M_tot: 0.00 Bohr magnetons per cell
- Density: 3.98 g cm⁻³
- Calculated volume: 68 Å³/f.u.


Stability, highest: entry ii